[1]
! Pu2Cl4F, relaxed, DFT PBE-GGA; values from VASP
! Formation energy (no corrections) in eV per atom: -2.218
! D(E_F) in states/eV per cell: 19.488
! VASP energy in eV/f.u.: -53.45
! Theoretical density in g/cm³: 6.082
&SYSTEM
  ibrav = 0, nat = 7, ntyp = 3
/
ATOMIC_SPECIES
F 19.00 F.upf
Cl 35.45 Cl.upf
Pu 244.00 Pu.upf
CELL_PARAMETERS angstrom
-2.717 -2.430 3.226
1.866 -1.216 4.328
-3.058 6.263 5.815
ATOMIC_POSITIONS crystal
F 0.500 0.500 0.500
Cl 0.704 0.704 0.889
Cl 0.892 0.892 0.323
Cl 0.296 0.296 0.111
Cl 0.108 0.108 0.677
Pu 0.588 0.588 0.236
Pu 0.412 0.412 0.764


[2]
! Tl5AuF4, relaxed, DFT PBE-GGA; values from VASP
! Formation energy (no corrections) in eV per atom: -1.351
! VASP energy in eV/f.u.: -36.10
! Theoretical density in g/cm³: 8.735
&SYSTEM
  ibrav = 0, nat = 10, ntyp = 3
/
ATOMIC_SPECIES
Tl 204.38 Tl.upf
Au 196.97 Au.upf
F 19.00 F.upf
CELL_PARAMETERS angstrom
-4.287 -1.974 -3.536
2.260 -2.582 -6.217
-1.611 -6.862 0.866
ATOMIC_POSITIONS crystal
Tl 0.861 0.420 0.794
Tl 0.281 0.794 0.580
Tl 0.655 0.206 0.420
Tl 0.075 0.580 0.206
Tl 0.502 0.000 0.000
Au 0.000 0.000 0.000
F 0.404 0.405 0.854
F 0.810 0.854 0.595
F 0.259 0.146 0.405
F 0.664 0.595 0.146